{"formula": "ZrTe2Cl", "functional": "GGA-PBE", "state": "optimized geometry", "crystal_system": "trigonal", "formation_energy_uncorrected_ev_per_atom": -0.620, "n_ef_per_ev_atom": 0.820, "de_polymorph_ev_per_atom": 0.225, "lattice_angstrom": [[8.887, 0.001, 0.001], [8.054, 3.757, 0.001], [8.054, 1.787, 3.305]], "species": ["Zr", "Te", "Te", "Cl"], "frac_coords": [[0.250, 0.250, 0.250], [0.510, 0.510, 0.510], [0.990, 0.990, 0.990], [0.750, 0.750, 0.750]]}

---

{"formula": "La2DyPb2", "functional": "GGA-PBE", "state": "optimized geometry", "crystal_system": "tetragonal", "n_ef_per_ev_atom": 1.117, "formation_enthalpy_0k_mev_per_atom": -558, "de_polymorph_ev_per_atom": 0.000, "lattice_angstrom": [[-0.210, -2.905, 3.735], [3.953, -5.919, -4.382], [7.355, 2.923, 2.687]], "species": ["Pb", "Pb", "Pb", "Pb", "Dy", "Dy", "La", "La", "La", "La"], "frac_coords": [[0.000, 0.365, 0.865], [0.000, 0.635, 0.135], [0.000, 0.865, 0.635], [0.000, 0.135, 0.365], [0.000, 0.000, 0.000], [0.000, 0.500, 0.500], [0.500, 0.831, 0.331], [0.500, 0.169, 0.669], [0.500, 0.331, 0.169], [0.500, 0.669, 0.831]]}

---

{"formula": "NaZn3Cu2", "functional": "GGA-PBE", "state": "optimized geometry", "crystal_system": "orthorhombic", "n_ef_per_ev_atom": 0.489, "formation_enthalpy_0k_mev_per_atom": -31, "lattice_angstrom": [[-2.586, -4.435, -0.231], [1.526, -0.566, -6.227], [5.019, -3.062, 2.619]], "species": ["Zn", "Zn", "Zn", "Zn", "Zn", "Zn", "Na", "Na", "Cu", "Cu", "Cu", "Cu"], "frac_coords": [[0.750, 0.465, 0.060], [0.750, 0.047, 0.047], [0.250, 0.535, 0.940], [0.250, 0.953, 0.953], [0.750, 0.060, 0.465], [0.250, 0.940, 0.535], [0.750, 0.645, 0.645], [0.250, 0.355, 0.355], [0.500, 0.781, 0.219], [0.000, 0.781, 0.219], [0.500, 0.219, 0.781], [0.000, 0.219, 0.781]]}

---

{"formula": "Ac4Hg2O", "functional": "GGA-PBE", "state": "optimized geometry", "crystal_system": "tetragonal", "formation_energy_uncorrected_ev_per_atom": -0.970, "n_ef_per_ev_atom": 0.566, "de_polymorph_ev_per_atom": 0.053, "lattice_angstrom": [[-2.805, 4.411, -0.102], [-3.334, -2.039, 3.472], [7.696, 1.901, 4.571]], "species": ["Hg", "Hg", "Ac", "Ac", "Ac", "Ac", "O"], "frac_coords": [[0.371, 0.371, 0.742], [0.629, 0.629, 0.258], [0.181, 0.181, 0.363], [0.819, 0.819, 0.637], [0.000, 0.500, 0.000], [0.500, 0.000, 0.000], [0.000, 0.000, 0.000]]}

---

One value per record, in order, for uncorrected energy: -19.2; -49.3; -27.0; -28.8 eV for the cell shown.
One value per record, in order, for ρ: 5749; 8579; 5480; 9617 kg/m3.